Entry 1:
This record from the Alexandria database describes a crystal of RbNaLi6Si2O8 relaxed with PBEsol. The functional is SCAN.

formation energy without anion corrections = -2536.6 meV/atom
total DFT energy (no corrections) = -8.602 eV/atom
DOS at the Fermi energy = 0.000 states/eV per atom

Cell: 8.425 8.425 7.765 Å, 90.46 90.46 43.92°
Fractional coordinates of all 36 atoms:
Rb: 0.245 0.245 0.471
Rb: 0.755 0.755 0.529
Na: 0.251 0.749 0.000
Na: 0.749 0.251 0.000
Li: 0.068 0.068 0.285
Li: 0.071 0.557 0.855
Li: 0.178 0.672 0.372
Li: 0.328 0.822 0.628
Li: 0.357 0.357 0.135
Li: 0.443 0.929 0.145
Li: 0.557 0.071 0.855
Li: 0.643 0.643 0.865
Li: 0.672 0.178 0.372
Li: 0.822 0.328 0.628
Li: 0.929 0.443 0.145
Li: 0.932 0.932 0.715
Si: 0.147 0.147 0.859
Si: 0.429 0.429 0.707
Si: 0.571 0.571 0.293
Si: 0.853 0.853 0.141
O: 0.025 0.586 0.204
O: 0.051 0.051 0.764
O: 0.133 0.133 0.069
O: 0.177 0.617 0.611
O: 0.383 0.823 0.389
O: 0.384 0.384 0.900
O: 0.414 0.975 0.796
O: 0.467 0.467 0.261
O: 0.533 0.533 0.739
O: 0.586 0.025 0.204
O: 0.616 0.616 0.100
O: 0.617 0.177 0.611
O: 0.823 0.383 0.389
O: 0.867 0.867 0.931
O: 0.949 0.949 0.236
O: 0.975 0.414 0.796

=====

Entry 2:
This record from the Alexandria database describes a crystal of Tb3Al relaxed with PBEsol. The functional is SCAN.

total DFT energy (no corrections) = -37.230 eV/atom
DOS at the Fermi energy = 0.972 states/eV per atom

Cell: 4.694 4.694 4.694 Å, 90.00 90.00 90.00°
Fractional coordinates of all 4 atoms:
Tb: 0.000 0.000 0.500
Tb: 0.000 0.500 0.000
Tb: 0.500 0.000 0.000
Al: 0.500 0.500 0.500

=====

Q: The highest total DFT energy (no corrections) belongs to which entry?
A: RbNaLi6Si2O8